Li2AlIn (meta-GGA SCAN, PBEsol geometry); calculated volume = 67.7 Å³/f.u.; spin magnetization = 0.0 μB/f.u.; energy relative to the elements = -0.216 eV/atom; uncorrected energy = -46.78 eV per cell; space-group type = P4/mmm, No. 123
1.0
-2.1067 2.1473 1.1948
-1.6463 -0.0649 -2.7860
-3.6444 -4.8364 2.2661
In Al Li
1 1 2
Cartesian
-3.6987 -1.3770 0.3374 In
-1.8765 1.0412 -0.7956 Al
-2.7793 -3.6884 1.7282 Li
-0.8650 -1.1480 0.5379 Li


Mg2ZrCd (meta-GGA SCAN, PBEsol geometry); calculated volume = 83.3 Å³/f.u.; spin magnetization = 0.0 μB/f.u.; energy relative to the elements = -0.121 eV/atom; uncorrected energy = -71.54 eV per cell; space-group type = P4/mmm, No. 123
1.0
-3.4265 -2.1794 1.4449
2.5765 -3.6056 0.6713
0.8365 1.3448 4.0123
Mg Zr Cd
2 1 1
Cartesian
0.0000 0.0000 0.0000 Mg
-1.2950 -0.4173 2.7286 Mg
-0.4250 -2.8925 1.0581 Zr
1.7065 -1.1304 2.3418 Cd


SrLi3Pb (meta-GGA SCAN, PBEsol geometry); calculated volume = 140.2 Å³/f.u.; spin magnetization = 0.0 μB/f.u.; energy relative to the elements = -0.254 eV/atom; uncorrected energy = -106.50 eV per cell; space-group type = Pm-3m, No. 221
1.0
-2.5531 -3.9305 -2.2411
3.2835 -3.3800 2.1872
-3.1128 -0.3416 4.1453
Pb Sr Li
1 1 3
Cartesian
0.0000 0.0000 0.0000 Pb
-1.1912 -3.8260 2.0457 Sr
1.6418 -1.6900 1.0936 Li
-1.5564 -0.1708 2.0726 Li
-1.2766 -1.9652 -1.1205 Li